First-principles (PBE) data for a geometry-optimized Sc3InP4 structure, as listed in the Alexandria database.

The calculated total energy is -6.18 eV per atom. As for the total magnetization: 0.0 μB/f.u. The formation energy is -0.762 eV per atom.

Cell lengths 13.897, 13.897, 13.897 Å; angles 17.39, 17.39, 17.39 degrees
Element x y z (fractional)
Sc 0.000 0.000 0.000
Sc 0.250 0.250 0.250
Sc 0.501 0.501 0.501
In 0.750 0.750 0.750
P 0.188 0.188 0.188
P 0.438 0.438 0.438
P 0.687 0.687 0.687
P 0.937 0.937 0.937